This record from Alexandria via LeMat-Bulk describes ScTc2 after structural relaxation. The functional is PBE.

Summary:
- total magnetization (μB/atom) = 0.00
- offset from the most stable computed form (kJ/mol of atoms) = 8.0
- SG = I4/mmm, No. 139
- energy of formation from the pure elements (eV per atom) = -0.22
- V (Å³/f.u.) = 49

Cell lengths 5.4824, 5.4824, 5.4824 Å; angles 147.00, 147.00, 47.37 degrees
Closest atoms and distances in Å follow each position.
Fractional coordinates of all 3 atoms:
Sc 0.0000 0.0000 0.0000  8 Tc 2.84, 4 Sc 3.11
Tc 0.3221 0.3221 0.0000  4 Tc 2.64, 4 Sc 2.84
Tc 0.6779 0.6779 0.0000  4 Tc 2.64, 4 Sc 2.84